1.
# K2HoCuBr6 PBE relaxed
# Crystal system: monoclinic
# E_form (uncorrected) (meV/atom): -1479
# Electronic total energy (eV/atom): -3.57
data_K2HoCuBr6
_chemical_formula_sum 'K4 Ho2 Cu2 Br12'
_space_group_name_H-M_alt 'P 1 21/c 1'
_space_group_IT_number 14
_cell_length_a 7.970
_cell_length_b 8.685
_cell_length_c 12.590
_cell_angle_alpha 90.00
_cell_angle_beta 129.06
_cell_angle_gamma 90.00
loop_
_space_group_symop_operation_xyz
'x,y,z'
'-x,-y,-z'
'-x,y+1/2,-z+1/2'
'x,-y+1/2,z+1/2'
loop_
_atom_site_label
_atom_site_type_symbol
_atom_site_fract_x
_atom_site_fract_y
_atom_site_fract_z
K1 K 0.224 0.090 0.247
Ho1 Ho 0.000 0.000 0.500
Cu1 Cu 0.500 0.000 0.000
Br1 Br 0.115 0.224 0.950
Br2 Br 0.241 0.663 0.949
Br3 Br 0.383 0.031 0.780

=====

2.
# Cs2NaAs2 PBE relaxed
# Crystal system: tetragonal
# Excess energy over the best structure of this formula in the dataset (eV/f.u.): 0.249
# Formation energy (meV/atom): -288
# Electronic total energy (eV/atom): -2.75
data_Cs2NaAs2
_chemical_formula_sum 'Cs4 Na2 As4'
_space_group_name_H-M_alt 'P 4/m b m'
_space_group_IT_number 127
_space_group_name_Hall '-P 4 2ab'
_cell_length_a 8.035
_cell_length_b 8.035
_cell_length_c 5.843
_cell_angle_alpha 90.00
_cell_angle_beta 90.00
_cell_angle_gamma 90.00
loop_
_atom_site_label
_atom_site_type_symbol
_atom_site_fract_x
_atom_site_fract_y
_atom_site_fract_z
Cs1 Cs 0.173 0.327 0.000
Na1 Na 0.000 0.000 0.500
As1 As 0.107 0.607 0.500

=====

3.
# K3Tb2ErSe6 PBE relaxed
# Crystal system: monoclinic
# E_form (uncorrected) (meV/atom): -1764
# Electronic total energy (eV/atom): -4.93
data_K3Tb2ErSe6
_chemical_formula_sum 'K6 Tb4 Er2 Se12'
_space_group_name_H-M_alt 'C 1 2/m 1'
_space_group_IT_number 12
_cell_length_a 7.298
_cell_length_b 12.642
_cell_length_c 8.059
_cell_angle_alpha 90.00
_cell_angle_beta 107.57
_cell_angle_gamma 90.00
loop_
_space_group_symop_operation_xyz
'x,y,z'
'-x,-y,-z'
'-x,y,-z'
'x,-y,z'
'x+1/2,y+1/2,z'
'-x+1/2,-y+1/2,-z'
'-x+1/2,y+1/2,-z'
'x+1/2,-y+1/2,z'
loop_
_atom_site_label
_atom_site_type_symbol
_atom_site_fract_x
_atom_site_fract_y
_atom_site_fract_z
K1 K 0.000 0.000 0.000
K2 K 0.000 0.333 0.000
Tb1 Tb 0.000 0.167 0.500
Er1 Er 0.000 0.500 0.500
Se1 Se 0.233 0.335 0.705
Se2 Se 0.238 0.000 0.705

=====

4.
# LaCrCoAs2 PBE relaxed
# Crystal system: tetragonal
# Formation energy (meV/atom): 1722
# Electronic total energy (eV/atom): -4.47
data_LaCrCoAs2
_chemical_formula_sum 'La1 Cr1 Co1 As2'
_space_group_name_H-M_alt 'P 4/m m m'
_space_group_IT_number 123
_space_group_name_Hall '-P 4 2'
_cell_length_a 5.547
_cell_length_b 5.547
_cell_length_c 4.470
_cell_angle_alpha 90.00
_cell_angle_beta 90.00
_cell_angle_gamma 90.00
loop_
_atom_site_label
_atom_site_type_symbol
_atom_site_fract_x
_atom_site_fract_y
_atom_site_fract_z
La1 La 0.000 0.000 0.000
Cr1 Cr 0.500 0.500 0.500
Co1 Co 0.000 0.000 0.500
As1 As 0.000 0.500 0.000

=====

Number 1: calculated volume 677 Å³ per cell, spin magnetization 0.0084 μB per atom. Number 2: calculated volume 377 Å³ per cell, spin magnetization 0.0862 μB per atom. Number 3: calculated volume 709 Å³ per cell, spin magnetization 0.0000 μB per atom. Number 4: calculated volume 138 Å³ per cell, spin magnetization 0.0851 μB per atom.